*w*
Entry from Alexandria via LeMat-Bulk: a relaxed Er3TmPd4 crystal (PBE).

Calculated values
ρ ... 10.88 g/cm3
Calculated volume ... 20.93 Å³ per atom
SG ... P4/mmm

```
data_Er3TmPd4
_chemical_formula_sum 'Er3 Tm1 Pd4'
_cell_length_a 4.952
_cell_length_b 4.952
_cell_length_c 6.826
_cell_angle_alpha 90.00
_cell_angle_beta 90.00
_cell_angle_gamma 90.00
_space_group_name_H-M_alt 'P 1'
_space_group_IT_number 1
_space_group_name_Hall 'P 1'
loop_
_atom_site_label
_atom_site_fract_x
_atom_site_fract_y
_atom_site_fract_z
_atom_site_occupancy
Er1 0.000 0.000 0.000 1
Er2 0.000 0.000 0.500 1
Er3 0.500 0.500 0.000 1
Tm1 0.500 0.500 0.500 1
Pd1 0.000 0.500 0.251 1
Pd2 0.000 0.500 0.749 1
Pd3 0.500 0.000 0.251 1
Pd4 0.500 0.000 0.749 1
```


*x*
Entry from Alexandria via LeMat-Bulk: a relaxed Er3TmPd4 crystal (PBE).

Calculated values
ρ ... 9.79 g/cm3
Calculated volume ... 23.25 Å³ per atom
SG ... Immm

```
data_Er3TmPd4
_chemical_formula_sum 'Er3 Tm1 Pd4'
_cell_length_a 8.485
_cell_length_b 8.485
_cell_length_c 8.485
_cell_angle_alpha 154.86
_cell_angle_beta 133.95
_cell_angle_gamma 53.18
_space_group_name_H-M_alt 'P 1'
_space_group_IT_number 1
_space_group_name_Hall 'P 1'
loop_
_atom_site_label
_atom_site_fract_x
_atom_site_fract_y
_atom_site_fract_z
_atom_site_occupancy
Er1 0.000 0.000 0.000 1
Er2 0.297 0.797 0.500 1
Er3 0.703 0.203 0.500 1
Tm1 0.500 0.500 0.000 1
Pd1 0.079 0.371 0.707 1
Pd2 0.336 0.629 0.707 1
Pd3 0.664 0.371 0.293 1
Pd4 0.921 0.629 0.293 1
```


*w* takes first place; second place is 204 meV/atom up.